Record 1
This record from the Alexandria database describes a PBEsol-optimized structure of BeCdTc2. The functional is SCAN.

Unit cell a=2.719 b=2.719 c=8.864 alpha=81.18 beta=81.18 gamma=60.00
Positions (direct):
Cd: 0.000 0.000 0.000
Tc: 0.240 0.240 0.280
Tc: 0.760 0.760 0.720
Be: 0.500 0.500 0.500

**Offset from the most stable computed form**: 95 meV/atom
**ΔH_f (0 K)**: 0.3557 eV/atom
**Density of states at the Fermi level**: 3.4 states/eV/f.u.
**Total magnetization**: 0.000 μB/atom

---

Record 2
This record from the Alexandria database describes a PBEsol-optimized structure of BeCdTc2. The functional is SCAN.

Unit cell a=3.634 b=3.634 c=4.264 alpha=90.00 beta=90.00 gamma=90.00
Positions (direct):
Be: 0.500 0.500 0.500
Cd: 0.000 0.000 0.500
Tc: 0.500 0.000 0.000
Tc: 0.000 0.500 0.000

**Offset from the most stable computed form**: 187 meV/atom
**ΔH_f (0 K)**: 0.4470 eV/atom
**Density of states at the Fermi level**: 3.8 states/eV/f.u.
**Total magnetization**: 0.000 μB/atom